1.
The following is a DFT calculation (PBE) of an optimized crystal structure of Ca2Al2Ge3.

Lattice parameters (Å, degrees): 4.1178 8.2801 10.0249 80.99 78.15 75.60
Fractional coordinates of all 14 atoms:
Al1 0.4154 0.5193 0.6500
Ge1 0.8395 0.5152 0.8058
Ge2 0.1605 0.4848 0.1942
Al2 0.9646 0.7645 0.3063
Ge3 0.9247 0.0281 0.1224
Ca1 0.2682 0.1279 0.3356
Ca2 0.7318 0.8721 0.6644
Al3 0.0354 0.2355 0.6937
Ge4 0.0753 0.9719 0.8776
Ge5 0.6151 0.2319 0.5379
Ge6 0.3849 0.7681 0.4621
Al4 0.5846 0.4807 0.3500
Ca3 0.6113 0.7336 0.0437
Ca4 0.3886 0.2664 0.9563

- formation energy from the elements (eV/atom) = -0.44
- volume (Å³/cell) = 322
- Fermi-level density of states (states/eV/f.u.) = 3.1
- calculated density (g cm⁻³) = 3.631
- DFT total energy (eV per atom) = -4.06

=====

2.
The following is a DFT calculation (PBE) of an optimized crystal structure of Ca3Al2Ge2.

Lattice parameters (Å, degrees): 4.4863 6.0062 7.7655 112.49 90.00 111.93
Fractional coordinates of all 7 atoms:
Ca1 0.5000 0.0000 0.0000
Ge1 0.9685 0.9370 0.6530
Al1 0.8097 0.6193 0.0698
Ca2 0.6761 0.3522 0.6225
Ge2 0.0315 0.0630 0.3470
Al2 0.1903 0.3807 0.9302
Ca3 0.3239 0.6478 0.3775

- formation energy from the elements (eV/atom) = -0.46
- energy above the most stable polymorph in this dataset (eV/atom) = 0.069
- volume (Å³/cell) = 177
- Fermi-level density of states (states/eV/f.u.) = 2.5
- calculated density (g cm⁻³) = 3.000
- DFT total energy (eV per atom) = -3.70

=====

3.
The following is a DFT calculation (PBE) of an optimized crystal structure of CaAlGe3.

Lattice parameters (Å, degrees): 4.9445 4.9445 4.9445 90.00 90.00 90.00
Fractional coordinates of all 5 atoms:
Ge1 0.0000 0.0000 0.5000
Ge2 0.0000 0.5000 0.0000
Ge3 0.5000 0.0000 0.0000
Al1 0.0000 0.0000 0.0000
Ca1 0.5000 0.5000 0.5000

- formation energy from the elements (eV/atom) = 0.13
- volume (Å³/cell) = 121
- Fermi-level density of states (states/eV/f.u.) = 2.9
- calculated density (g cm⁻³) = 3.915
- DFT total energy (eV per atom) = -3.79